(1)
Compound: AgMoP2C
Source: the Alexandria database
Functional: GGA-PBE
Structure: relaxed

Results
SG: No. 123
Calculated formation energy in eV/f.u.: 4.9
Volume in Å³/cell: 91.5
Total magnetization in Bohr magnetons per cell: 0.000

Unit cell a=4.753 b=4.049 c=4.753 alpha=90.00 beta=90.00 gamma=90.00
Atoms (fractional coordinates):
P 0.000 0.000 0.500
P 0.500 0.000 0.000
C 0.000 0.500 0.000
Mo 0.000 0.000 0.000
Ag 0.500 0.500 0.500



(2)
Compound: K2Ta
Source: the Alexandria database
Functional: GGA-PBE
Structure: relaxed

Results
SG: No. 12
Calculated formation energy in eV/f.u.: 2.8
Volume in Å³/cell: 254.9
Total magnetization in Bohr magnetons per cell: 0.000

Unit cell a=10.746 b=10.746 c=7.999 alpha=69.33 beta=69.33 gamma=17.19
Atoms (fractional coordinates):
K 0.647 0.647 0.080
K 0.353 0.353 0.920
K 0.923 0.923 0.340
K 0.077 0.077 0.660
Ta 0.744 0.744 0.383
Ta 0.256 0.256 0.617